Record 1
Here is crystalline LaP2AuO at its relaxed geometry from the Alexandria database. Energies are from PBE.

Geometry as POSCAR:
```
LaP2AuO
1.0
5.7661 0.0000 0.0000
0.0000 4.1274 0.0000
0.0000 0.0000 5.7661
La Au P O
1 1 2 1
direct
0.0000 0.0000 0.0000
0.5000 0.5000 0.5000
0.0000 0.0000 0.5000
0.5000 0.0000 0.0000
0.0000 0.5000 0.0000
```

For the calculated volume, the calculation gives 137.23 Å³/cell. Its uncorrected formation energy is 282 meV/atom. For the energy, the calculation gives -4.5150 eV per atom. The magnetization comes out at 0.003 Bohr magnetons per cell. The calculation puts the mass density at 5007 kg/m3.

Record 2
Here is crystalline ZnSb4Pb5 at its relaxed geometry from the Alexandria database. Energies are from PBE.

Geometry as POSCAR:
```
ZnSb4Pb5
1.0
4.2575 0.0000 0.0000
0.0000 8.2857 -1.0361
-2.1288 -2.3269 8.9883
Sb Pb Zn
4 5 1
direct
0.6545 0.0320 0.3089
0.0310 0.2453 0.0619
0.3455 0.9680 0.6911
0.9690 0.7547 0.9381
0.1511 0.7430 0.3023
0.7922 0.6712 0.5843
0.5000 0.5000 0.0000
0.8489 0.2570 0.6977
0.2078 0.3288 0.4157
0.5000 0.0000 0.0000
```

For the calculated volume, the calculation gives 306.81 Å³/cell. Its uncorrected formation energy is 97 meV/atom. For the energy, the calculation gives -3.5333 eV per atom. The magnetization comes out at 0.000 Bohr magnetons per cell. The calculation puts the mass density at 8597 kg/m3.

Record 3
Here is crystalline Pr2Ni17 at its relaxed geometry from the Alexandria database. Energies are from PBE.

Geometry as POSCAR:
```
Pr2Ni17
1.0
-4.8816 -0.9417 -3.8908
0.5760 -6.2731 -0.4138
-4.2378 -1.4331 4.4544
Ni Pr
17 2
direct
0.7114 0.0000 0.2886
0.5000 0.0000 0.0000
0.0981 0.0981 0.0981
0.0000 0.7114 0.2886
0.0000 0.5000 0.0000
0.2886 0.0000 0.7114
0.3430 0.3430 0.8483
0.9019 0.9019 0.9019
0.3430 0.8483 0.3430
0.0000 0.0000 0.5000
0.8483 0.3430 0.3430
0.2886 0.7114 0.0000
0.6570 0.1517 0.6570
0.1517 0.6570 0.6570
0.0000 0.2886 0.7114
0.6570 0.6570 0.1517
0.7114 0.2886 0.0000
0.6592 0.6592 0.6592
0.3408 0.3408 0.3408
```

For the calculated volume, the calculation gives 246.71 Å³/cell. For the energy, the calculation gives -5.8259 eV per atom. The magnetization comes out at 7.207 Bohr magnetons per cell. The calculation puts the mass density at 8613 kg/m3.

Record 4
Here is crystalline PmPuMnZn at its relaxed geometry from the Alexandria database. Energies are from PBE.

Geometry as POSCAR:
```
PmPuMnZn
1.0
-3.4185 3.5326 1.3436
-3.1008 -0.8302 3.9581
0.6201 2.6333 4.3188
Pu Pm Mn Zn
1 1 1 1
direct
0.0000 0.0000 0.0000
0.5000 0.5000 0.5000
0.7500 0.7500 0.7500
0.2500 0.2500 0.2500
```

For the calculated volume, the calculation gives 93.59 Å³/cell. For the energy, the calculation gives -7.1463 eV per atom. The magnetization comes out at 8.841 Bohr magnetons per cell. The calculation puts the mass density at 9037 kg/m3.

Record 5
Here is crystalline PmSmAlPt at its relaxed geometry from the Alexandria database. Energies are from PBE.

Geometry as POSCAR:
```
PmSmAlPt
1.0
-3.6575 1.9775 -3.0527
-2.8546 -3.1169 -2.9568
-4.9786 -0.7637 1.1124
Al Pm Pt Sm
1 1 1 1
direct
0.7500 0.7500 0.7500
0.0000 0.0000 0.0000
0.2500 0.2500 0.2500
0.5000 0.5000 0.5000
```

For the calculated volume, the calculation gives 97.05 Å³/cell. For the energy, the calculation gives -5.4442 eV per atom. The magnetization comes out at 0.000 Bohr magnetons per cell. The calculation puts the mass density at 8854 kg/m3.

Record 6
Here is crystalline NaTaBiSb at its relaxed geometry from the Alexandria database. Energies are from PBE.

Geometry as POSCAR:
```
NaTaBiSb
1.0
-1.8588 -3.4525 -2.6976
3.2569 -1.8448 0.1170
-2.5592 -3.8964 9.8033
Bi Na Sb Ta
2 2 2 2
direct
0.6327 0.5000 0.5828
0.6327 0.0000 0.0828
0.1180 0.5000 0.0782
0.1180 0.0000 0.5782
0.1836 0.5000 0.8160
0.1836 0.0000 0.3160
0.6772 0.5000 0.3029
0.6772 0.0000 0.8029
```

For the calculated volume, the calculation gives 191.00 Å³/cell. Its uncorrected formation energy is 332 meV/atom. For the energy, the calculation gives -4.9621 eV per atom. The magnetization comes out at 0.001 Bohr magnetons per cell. The calculation puts the mass density at 9297 kg/m3.